A relaxed BiOsNO crystal. Source: OQMD via LeMat-Bulk, functional PBE.

The structure in CIF format:
```
data_BiOsNO
_space_group_name_H-M_alt 'P m c 21'
_space_group_IT_number 26
_space_group_name_Hall 'P 2c -2'
_cell_length_a 3.246
_cell_length_b 6.400
_cell_length_c 6.644
_cell_angle_alpha 90.00
_cell_angle_beta 90.00
_cell_angle_gamma 90.00
loop_
_atom_site_label
_atom_site_type_symbol
_atom_site_fract_x
_atom_site_fract_y
_atom_site_fract_z
Bi1 Bi 0.000 0.060 0.000
Os1 Os 0.500 0.445 0.461
N1 N 0.000 0.312 0.516
O1 O 0.500 0.355 0.181
```


A relaxed BiOsNO crystal. Source: OQMD via LeMat-Bulk, functional PBE.

The structure in CIF format:
```
data_BiOsNO
_space_group_name_H-M_alt 'P 4/n m m'
_space_group_IT_number 129
_cell_length_a 3.867
_cell_length_b 3.867
_cell_length_c 7.870
_cell_angle_alpha 90.00
_cell_angle_beta 90.00
_cell_angle_gamma 90.00
loop_
_space_group_symop_operation_xyz
'x,y,z'
'-x,-y,-z'
'-y+1/2,x,z'
'y+1/2,-x,-z'
'-x+1/2,-y+1/2,z'
'x+1/2,y+1/2,-z'
'y,-x+1/2,z'
'-y,x+1/2,-z'
'x+1/2,-y,-z'
'-x+1/2,y,z'
'-y,-x,-z'
'y,x,z'
'-x,y+1/2,-z'
'x,-y+1/2,z'
'y+1/2,x+1/2,-z'
'-y+1/2,-x+1/2,z'
loop_
_atom_site_label
_atom_site_type_symbol
_atom_site_fract_x
_atom_site_fract_y
_atom_site_fract_z
Bi1 Bi 0.250 0.250 0.163
Os1 Os 0.250 0.750 0.500
N1 N 0.250 0.250 0.612
O1 O 0.250 0.750 0.000
```


A relaxed BiOsNO crystal. Source: OQMD via LeMat-Bulk, functional PBE.

The structure in CIF format:
```
data_BiOsNO
_space_group_name_H-M_alt 'P 4/n m m'
_space_group_IT_number 129
_cell_length_a 4.217
_cell_length_b 4.217
_cell_length_c 8.251
_cell_angle_alpha 90.00
_cell_angle_beta 90.00
_cell_angle_gamma 90.00
loop_
_space_group_symop_operation_xyz
'x,y,z'
'-x,-y,-z'
'-y+1/2,x,z'
'y+1/2,-x,-z'
'-x+1/2,-y+1/2,z'
'x+1/2,y+1/2,-z'
'y,-x+1/2,z'
'-y,x+1/2,-z'
'x+1/2,-y,-z'
'-x+1/2,y,z'
'-y,-x,-z'
'y,x,z'
'-x,y+1/2,-z'
'x,-y+1/2,z'
'y+1/2,x+1/2,-z'
'-y+1/2,-x+1/2,z'
loop_
_atom_site_label
_atom_site_type_symbol
_atom_site_fract_x
_atom_site_fract_y
_atom_site_fract_z
Bi1 Bi 0.250 0.750 0.000
Os1 Os 0.250 0.250 0.435
N1 N 0.250 0.250 0.225
O1 O 0.250 0.750 0.500
```


A relaxed BiOsNO crystal. Source: OQMD via LeMat-Bulk, functional PBE.

The structure in CIF format:
```
data_BiOsNO
_space_group_name_H-M_alt 'P m c 21'
_space_group_IT_number 26
_space_group_name_Hall 'P 2c -2'
_cell_length_a 3.107
_cell_length_b 6.308
_cell_length_c 6.686
_cell_angle_alpha 90.00
_cell_angle_beta 90.00
_cell_angle_gamma 90.00
loop_
_atom_site_label
_atom_site_type_symbol
_atom_site_fract_x
_atom_site_fract_y
_atom_site_fract_z
Bi1 Bi 0.000 0.173 0.000
Os1 Os 0.500 0.410 0.544
N1 N 0.500 0.417 0.276
O1 O 0.000 0.228 0.653
```


A relaxed BiOsNO crystal. Source: OQMD via LeMat-Bulk, functional PBE.

The structure in CIF format:
```
data_BiOsNO
_space_group_name_H-M_alt 'P c a 21'
_space_group_IT_number 29
_space_group_name_Hall 'P 2c -2ac'
_cell_length_a 5.607
_cell_length_b 7.945
_cell_length_c 5.394
_cell_angle_alpha 90.00
_cell_angle_beta 90.00
_cell_angle_gamma 90.00
loop_
_atom_site_label
_atom_site_type_symbol
_atom_site_fract_x
_atom_site_fract_y
_atom_site_fract_z
Bi1 Bi 0.042 0.181 0.000
Os1 Os 0.039 0.548 0.084
N1 N 0.160 0.625 0.755
O1 O 0.071 0.162 0.573
```


A relaxed BiOsNO crystal. Source: OQMD via LeMat-Bulk, functional PBE.

The structure in CIF format:
```
data_BiOsNO
_space_group_name_H-M_alt 'P 4/n m m'
_space_group_IT_number 129
_cell_length_a 4.429
_cell_length_b 4.429
_cell_length_c 5.779
_cell_angle_alpha 90.00
_cell_angle_beta 90.00
_cell_angle_gamma 90.00
loop_
_space_group_symop_operation_xyz
'x,y,z'
'-x,-y,-z'
'-y+1/2,x,z'
'y+1/2,-x,-z'
'-x+1/2,-y+1/2,z'
'x+1/2,y+1/2,-z'
'y,-x+1/2,z'
'-y,x+1/2,-z'
'x+1/2,-y,-z'
'-x+1/2,y,z'
'-y,-x,-z'
'y,x,z'
'-x,y+1/2,-z'
'x,-y+1/2,z'
'y+1/2,x+1/2,-z'
'-y+1/2,-x+1/2,z'
loop_
_atom_site_label
_atom_site_type_symbol
_atom_site_fract_x
_atom_site_fract_y
_atom_site_fract_z
Bi1 Bi 0.250 0.750 0.000
Os1 Os 0.250 0.250 0.464
N1 N 0.250 0.250 0.780
O1 O 0.250 0.750 0.500
```


A relaxed PaBiNO crystal. Source: OQMD via LeMat-Bulk, functional PBE.

The structure in CIF format:
```
data_PaBiNO
_space_group_name_H-M_alt 'P 4/n m m'
_space_group_IT_number 129
_cell_length_a 3.987
_cell_length_b 3.987
_cell_length_c 8.845
_cell_angle_alpha 90.00
_cell_angle_beta 90.00
_cell_angle_gamma 90.00
loop_
_space_group_symop_operation_xyz
'x,y,z'
'-x,-y,-z'
'-y+1/2,x,z'
'y+1/2,-x,-z'
'-x+1/2,-y+1/2,z'
'x+1/2,y+1/2,-z'
'y,-x+1/2,z'
'-y,x+1/2,-z'
'x+1/2,-y,-z'
'-x+1/2,y,z'
'-y,-x,-z'
'y,x,z'
'-x,y+1/2,-z'
'x,-y+1/2,z'
'y+1/2,x+1/2,-z'
'-y+1/2,-x+1/2,z'
loop_
_atom_site_label
_atom_site_type_symbol
_atom_site_fract_x
_atom_site_fract_y
_atom_site_fract_z
Pa1 Pa 0.250 0.250 0.147
Bi1 Bi 0.250 0.750 0.500
N1 N 0.250 0.250 0.754
O1 O 0.250 0.750 0.000
```


A relaxed PaBiNO crystal. Source: OQMD via LeMat-Bulk, functional PBE.

The structure in CIF format:
```
data_PaBiNO
_space_group_name_H-M_alt 'P 4/n m m'
_space_group_IT_number 129
_cell_length_a 4.544
_cell_length_b 4.544
_cell_length_c 7.424
_cell_angle_alpha 90.00
_cell_angle_beta 90.00
_cell_angle_gamma 90.00
loop_
_space_group_symop_operation_xyz
'x,y,z'
'-x,-y,-z'
'-y+1/2,x,z'
'y+1/2,-x,-z'
'-x+1/2,-y+1/2,z'
'x+1/2,y+1/2,-z'
'y,-x+1/2,z'
'-y,x+1/2,-z'
'x+1/2,-y,-z'
'-x+1/2,y,z'
'-y,-x,-z'
'y,x,z'
'-x,y+1/2,-z'
'x,-y+1/2,z'
'y+1/2,x+1/2,-z'
'-y+1/2,-x+1/2,z'
loop_
_atom_site_label
_atom_site_type_symbol
_atom_site_fract_x
_atom_site_fract_y
_atom_site_fract_z
Pa1 Pa 0.250 0.750 0.000
Bi1 Bi 0.250 0.250 0.403
N1 N 0.250 0.250 0.913
O1 O 0.250 0.750 0.500
```


A relaxed PaBiNO crystal. Source: OQMD via LeMat-Bulk, functional PBE.

The structure in CIF format:
```
data_PaBiNO
_space_group_name_H-M_alt 'P c a 21'
_space_group_IT_number 29
_space_group_name_Hall 'P 2c -2ac'
_cell_length_a 5.446
_cell_length_b 9.710
_cell_length_c 5.718
_cell_angle_alpha 90.00
_cell_angle_beta 90.00
_cell_angle_gamma 90.00
loop_
_atom_site_label
_atom_site_type_symbol
_atom_site_fract_x
_atom_site_fract_y
_atom_site_fract_z
Pa1 Pa 0.037 0.124 0.000
Bi1 Bi 0.110 0.594 0.005
N1 N 0.249 0.971 0.747
O1 O 0.235 0.249 0.264
```


A relaxed PaBiNO crystal. Source: OQMD via LeMat-Bulk, functional PBE.

The structure in CIF format:
```
data_PaBiNO
_space_group_name_H-M_alt 'P m c 21'
_space_group_IT_number 26
_space_group_name_Hall 'P 2c -2'
_cell_length_a 4.065
_cell_length_b 7.157
_cell_length_c 5.950
_cell_angle_alpha 90.00
_cell_angle_beta 90.00
_cell_angle_gamma 90.00
loop_
_atom_site_label
_atom_site_type_symbol
_atom_site_fract_x
_atom_site_fract_y
_atom_site_fract_z
Pa1 Pa 0.000 0.201 0.000
Bi1 Bi 0.500 0.417 0.455
N1 N 0.500 0.255 0.874
O1 O 0.000 0.058 0.322
```


A relaxed PaBiNO crystal. Source: OQMD via LeMat-Bulk, functional PBE.

The structure in CIF format:
```
data_PaBiNO
_space_group_name_H-M_alt 'P 4/n m m'
_space_group_IT_number 129
_cell_length_a 4.671
_cell_length_b 4.671
_cell_length_c 6.767
_cell_angle_alpha 90.00
_cell_angle_beta 90.00
_cell_angle_gamma 90.00
loop_
_space_group_symop_operation_xyz
'x,y,z'
'-x,-y,-z'
'-y+1/2,x,z'
'y+1/2,-x,-z'
'-x+1/2,-y+1/2,z'
'x+1/2,y+1/2,-z'
'y,-x+1/2,z'
'-y,x+1/2,-z'
'x+1/2,-y,-z'
'-x+1/2,y,z'
'-y,-x,-z'
'y,x,z'
'-x,y+1/2,-z'
'x,-y+1/2,z'
'y+1/2,x+1/2,-z'
'-y+1/2,-x+1/2,z'
loop_
_atom_site_label
_atom_site_type_symbol
_atom_site_fract_x
_atom_site_fract_y
_atom_site_fract_z
Pa1 Pa 0.250 0.750 0.000
Bi1 Bi 0.250 0.250 0.421
N1 N 0.250 0.250 0.926
O1 O 0.250 0.750 0.500
```


A relaxed PaBiNO crystal. Source: OQMD via LeMat-Bulk, functional PBE.

The structure in CIF format:
```
data_PaBiNO
_space_group_name_H-M_alt 'P m c 21'
_space_group_IT_number 26
_space_group_name_Hall 'P 2c -2'
_cell_length_a 3.763
_cell_length_b 7.054
_cell_length_c 6.739
_cell_angle_alpha 90.00
_cell_angle_beta 90.00
_cell_angle_gamma 90.00
loop_
_atom_site_label
_atom_site_type_symbol
_atom_site_fract_x
_atom_site_fract_y
_atom_site_fract_z
Pa1 Pa 0.000 0.157 0.000
Bi1 Bi 0.500 0.242 0.514
N1 N 0.000 0.110 0.323
O1 O 0.500 0.300 0.949
```


A relaxed BiPdNO crystal. Source: OQMD via LeMat-Bulk, functional PBE.

The structure in CIF format:
```
data_BiPdNO
_space_group_name_H-M_alt 'P m c 21'
_space_group_IT_number 26
_space_group_name_Hall 'P 2c -2'
_cell_length_a 3.897
_cell_length_b 5.712
_cell_length_c 5.540
_cell_angle_alpha 90.00
_cell_angle_beta 90.00
_cell_angle_gamma 90.00
loop_
_atom_site_label
_atom_site_type_symbol
_atom_site_fract_x
_atom_site_fract_y
_atom_site_fract_z
Bi1 Bi 0.000 0.218 0.000
Pd1 Pd 0.500 0.339 0.451
N1 N 0.000 0.398 0.410
O1 O 0.500 0.157 0.777
```


A relaxed BiPdNO crystal. Source: OQMD via LeMat-Bulk, functional PBE.

The structure in CIF format:
```
data_BiPdNO
_space_group_name_H-M_alt 'P m c 21'
_space_group_IT_number 26
_space_group_name_Hall 'P 2c -2'
_cell_length_a 3.788
_cell_length_b 5.845
_cell_length_c 5.790
_cell_angle_alpha 90.00
_cell_angle_beta 90.00
_cell_angle_gamma 90.00
loop_
_atom_site_label
_atom_site_type_symbol
_atom_site_fract_x
_atom_site_fract_y
_atom_site_fract_z
Bi1 Bi 0.000 0.190 0.000
Pd1 Pd 0.500 0.417 0.487
N1 N 0.500 0.276 0.795
O1 O 0.000 0.176 0.401
```


A relaxed BiPdNO crystal. Source: OQMD via LeMat-Bulk, functional PBE.

The structure in CIF format:
```
data_BiPdNO
_space_group_name_H-M_alt 'P 4/n m m'
_space_group_IT_number 129
_cell_length_a 4.118
_cell_length_b 4.118
_cell_length_c 7.175
_cell_angle_alpha 90.00
_cell_angle_beta 90.00
_cell_angle_gamma 90.00
loop_
_space_group_symop_operation_xyz
'x,y,z'
'-x,-y,-z'
'-y+1/2,x,z'
'y+1/2,-x,-z'
'-x+1/2,-y+1/2,z'
'x+1/2,y+1/2,-z'
'y,-x+1/2,z'
'-y,x+1/2,-z'
'x+1/2,-y,-z'
'-x+1/2,y,z'
'-y,-x,-z'
'y,x,z'
'-x,y+1/2,-z'
'x,-y+1/2,z'
'y+1/2,x+1/2,-z'
'-y+1/2,-x+1/2,z'
loop_
_atom_site_label
_atom_site_type_symbol
_atom_site_fract_x
_atom_site_fract_y
_atom_site_fract_z
Bi1 Bi 0.250 0.250 0.163
Pd1 Pd 0.250 0.750 0.500
N1 N 0.250 0.250 0.573
O1 O 0.250 0.750 0.000
```


A relaxed BiPdNO crystal. Source: OQMD via LeMat-Bulk, functional PBE.

The structure in CIF format:
```
data_BiPdNO
_space_group_name_H-M_alt 'P 4/n m m'
_space_group_IT_number 129
_cell_length_a 4.850
_cell_length_b 4.850
_cell_length_c 4.680
_cell_angle_alpha 90.00
_cell_angle_beta 90.00
_cell_angle_gamma 90.00
loop_
_space_group_symop_operation_xyz
'x,y,z'
'-x,-y,-z'
'-y+1/2,x,z'
'y+1/2,-x,-z'
'-x+1/2,-y+1/2,z'
'x+1/2,y+1/2,-z'
'y,-x+1/2,z'
'-y,x+1/2,-z'
'x+1/2,-y,-z'
'-x+1/2,y,z'
'-y,-x,-z'
'y,x,z'
'-x,y+1/2,-z'
'x,-y+1/2,z'
'y+1/2,x+1/2,-z'
'-y+1/2,-x+1/2,z'
loop_
_atom_site_label
_atom_site_type_symbol
_atom_site_fract_x
_atom_site_fract_y
_atom_site_fract_z
Bi1 Bi 0.250 0.750 0.000
Pd1 Pd 0.250 0.250 0.498
N1 N 0.250 0.250 0.997
O1 O 0.250 0.750 0.500
```


A relaxed BiPdNO crystal. Source: OQMD via LeMat-Bulk, functional PBE.

The structure in CIF format:
```
data_BiPdNO
_space_group_name_H-M_alt 'P 4/n m m'
_space_group_IT_number 129
_cell_length_a 4.112
_cell_length_b 4.112
_cell_length_c 7.185
_cell_angle_alpha 90.00
_cell_angle_beta 90.00
_cell_angle_gamma 90.00
loop_
_space_group_symop_operation_xyz
'x,y,z'
'-x,-y,-z'
'-y+1/2,x,z'
'y+1/2,-x,-z'
'-x+1/2,-y+1/2,z'
'x+1/2,y+1/2,-z'
'y,-x+1/2,z'
'-y,x+1/2,-z'
'x+1/2,-y,-z'
'-x+1/2,y,z'
'-y,-x,-z'
'y,x,z'
'-x,y+1/2,-z'
'x,-y+1/2,z'
'y+1/2,x+1/2,-z'
'-y+1/2,-x+1/2,z'
loop_
_atom_site_label
_atom_site_type_symbol
_atom_site_fract_x
_atom_site_fract_y
_atom_site_fract_z
Bi1 Bi 0.250 0.250 0.163
Pd1 Pd 0.250 0.750 0.500
N1 N 0.250 0.250 0.575
O1 O 0.250 0.750 0.000
```


A relaxed BiPdNO crystal. Source: OQMD via LeMat-Bulk, functional PBE.

The structure in CIF format:
```
data_BiPdNO
_space_group_name_H-M_alt 'P c a 21'
_space_group_IT_number 29
_space_group_name_Hall 'P 2c -2ac'
_cell_length_a 5.580
_cell_length_b 8.170
_cell_length_c 5.506
_cell_angle_alpha 90.00
_cell_angle_beta 90.00
_cell_angle_gamma 90.00
loop_
_atom_site_label
_atom_site_type_symbol
_atom_site_fract_x
_atom_site_fract_y
_atom_site_fract_z
Bi1 Bi 0.025 0.156 0.000
Pd1 Pd 0.067 0.466 0.633
N1 N 0.134 0.357 0.311
O1 O 0.243 0.993 0.726
```


A relaxed PmBiNO crystal. Source: OQMD via LeMat-Bulk, functional PBE.

The structure in CIF format:
```
data_PmBiNO
_space_group_name_H-M_alt 'P c a 21'
_space_group_IT_number 29
_space_group_name_Hall 'P 2c -2ac'
_cell_length_a 7.104
_cell_length_b 7.638
_cell_length_c 5.699
_cell_angle_alpha 90.00
_cell_angle_beta 90.00
_cell_angle_gamma 90.00
loop_
_atom_site_label
_atom_site_type_symbol
_atom_site_fract_x
_atom_site_fract_y
_atom_site_fract_z
Pm1 Pm 0.092 0.144 0.000
Bi1 Bi 0.123 0.670 0.018
N1 N 0.089 0.113 0.580
O1 O 0.036 0.406 0.183
```


A relaxed PmBiNO crystal. Source: OQMD via LeMat-Bulk, functional PBE.

The structure in CIF format:
```
data_PmBiNO
_space_group_name_H-M_alt 'P 4/n m m'
_space_group_IT_number 129
_cell_length_a 4.611
_cell_length_b 4.611
_cell_length_c 7.892
_cell_angle_alpha 90.00
_cell_angle_beta 90.00
_cell_angle_gamma 90.00
loop_
_space_group_symop_operation_xyz
'x,y,z'
'-x,-y,-z'
'-y+1/2,x,z'
'y+1/2,-x,-z'
'-x+1/2,-y+1/2,z'
'x+1/2,y+1/2,-z'
'y,-x+1/2,z'
'-y,x+1/2,-z'
'x+1/2,-y,-z'
'-x+1/2,y,z'
'-y,-x,-z'
'y,x,z'
'-x,y+1/2,-z'
'x,-y+1/2,z'
'y+1/2,x+1/2,-z'
'-y+1/2,-x+1/2,z'
loop_
_atom_site_label
_atom_site_type_symbol
_atom_site_fract_x
_atom_site_fract_y
_atom_site_fract_z
Pm1 Pm 0.250 0.250 0.098
Bi1 Bi 0.250 0.750 0.500
N1 N 0.250 0.250 0.385
O1 O 0.250 0.750 0.000
```


A relaxed PmBiNO crystal. Source: OQMD via LeMat-Bulk, functional PBE.

The structure in CIF format:
```
data_PmBiNO
_space_group_name_H-M_alt 'P m c 21'
_space_group_IT_number 26
_space_group_name_Hall 'P 2c -2'
_cell_length_a 3.864
_cell_length_b 6.906
_cell_length_c 5.997
_cell_angle_alpha 90.00
_cell_angle_beta 90.00
_cell_angle_gamma 90.00
loop_
_atom_site_label
_atom_site_type_symbol
_atom_site_fract_x
_atom_site_fract_y
_atom_site_fract_z
Pm1 Pm 0.000 0.149 0.000
Bi1 Bi 0.500 0.352 0.473
N1 N 0.000 0.179 0.401
O1 O 0.500 0.191 0.815
```


A relaxed PmBiNO crystal. Source: OQMD via LeMat-Bulk, functional PBE.

The structure in CIF format:
```
data_PmBiNO
_space_group_name_H-M_alt 'P 4/n m m'
_space_group_IT_number 129
_cell_length_a 5.133
_cell_length_b 5.133
_cell_length_c 5.115
_cell_angle_alpha 90.00
_cell_angle_beta 90.00
_cell_angle_gamma 90.00
loop_
_space_group_symop_operation_xyz
'x,y,z'
'-x,-y,-z'
'-y+1/2,x,z'
'y+1/2,-x,-z'
'-x+1/2,-y+1/2,z'
'x+1/2,y+1/2,-z'
'y,-x+1/2,z'
'-y,x+1/2,-z'
'x+1/2,-y,-z'
'-x+1/2,y,z'
'-y,-x,-z'
'y,x,z'
'-x,y+1/2,-z'
'x,-y+1/2,z'
'y+1/2,x+1/2,-z'
'-y+1/2,-x+1/2,z'
loop_
_atom_site_label
_atom_site_type_symbol
_atom_site_fract_x
_atom_site_fract_y
_atom_site_fract_z
Pm1 Pm 0.250 0.750 0.000
Bi1 Bi 0.250 0.250 0.491
N1 N 0.250 0.250 0.050
O1 O 0.250 0.750 0.500
```


A relaxed PmBiNO crystal. Source: OQMD via LeMat-Bulk, functional PBE.

The structure in CIF format:
```
data_PmBiNO
_space_group_name_H-M_alt 'P c a 21'
_space_group_IT_number 29
_space_group_name_Hall 'P 2c -2ac'
_cell_length_a 5.937
_cell_length_b 8.604
_cell_length_c 5.880
_cell_angle_alpha 90.00
_cell_angle_beta 90.00
_cell_angle_gamma 90.00
loop_
_atom_site_label
_atom_site_type_symbol
_atom_site_fract_x
_atom_site_fract_y
_atom_site_fract_z
Pm1 Pm 0.007 0.124 0.000
Bi1 Bi 0.012 0.623 0.005
N1 N 0.097 0.614 0.588
O1 O 0.248 0.993 0.251
```


no.,raw total energy (eV per atom)
1,-6.957
2,-7.052
3,-6.492
4,-6.952
5,-7.062
6,-6.385
7,-7.058
8,-6.825
9,-7.865
10,-7.535
11,-6.844
12,-7.425
13,-5.477
14,-5.400
15,-5.549
16,-5.333
17,-5.549
18,-5.678
19,-6.564
20,-6.624
21,-6.611
22,-6.529
23,-6.763